(1)
Material: Mn2PdI8
Method: DFT, PBE
State: relaxed

Properties
Its space group is C2/m. The calculation puts the total magnetic moment at 7.9 μB/f.u. For the energy, the calculation gives -3.506 eV per atom. The density of states at the Fermi level comes out at 7.14 states/eV/cell. The relative energy among the computed polymorphs comes out at 0.034 eV/atom.

abc: 7.116 8.267 8.267
angles: 89.77 86.77 86.77
Last column: magnetic moment on the atom in μB.
Positions (direct):
I 0.807 0.063 0.735  0.02
Mn 0.653 0.775 0.775  3.92
I 0.193 0.937 0.265  0.02
I 0.758 0.561 0.561  -0.12
I 0.242 0.439 0.439  -0.12
Pd 0.000 0.000 0.000  -0.21
Mn 0.347 0.225 0.225  3.92
I 0.291 0.782 0.782  -0.09
I 0.193 0.265 0.937  0.02
I 0.709 0.218 0.218  -0.09
I 0.807 0.735 0.063  0.02

(2)
Material: MnPd2I6
Method: DFT, PBE
State: relaxed

Properties
Its space group is C2/c. The calculation puts the total magnetic moment at 4.9 μB/f.u. For the energy, the calculation gives -3.459 eV per atom.

abc: 8.267 10.483 10.483
angles: 103.12 71.14 71.14
Last column: magnetic moment on the atom in μB.
Positions (direct):
Pd 0.914 0.707 0.539  0.01
I 0.583 0.313 0.464  0.01
Pd 0.586 0.461 0.293  0.01
Pd 0.414 0.539 0.707  0.01
I 0.285 0.067 0.213  0.04
Pd 0.086 0.293 0.461  0.01
I 0.596 0.626 0.136  0.03
Mn 0.250 0.813 0.187  4.22
I 0.904 0.864 0.374  0.03
I 0.715 0.933 0.787  0.04
I 0.404 0.374 0.864  0.03
I 0.785 0.213 0.067  0.04
I 0.215 0.787 0.933  0.04
I 0.417 0.687 0.536  0.01
Mn 0.750 0.187 0.813  4.22
I 0.917 0.536 0.687  0.01
I 0.083 0.464 0.313  0.01
I 0.096 0.136 0.626  0.03

(3)
Material: MnPdI2
Method: DFT, PBE
State: relaxed

Properties
Its space group is I-42d. The calculation puts the total magnetic moment at 5.0 μB/f.u. For the energy, the calculation gives -4.373 eV per atom. The density of states at the Fermi level comes out at 0.32 states/eV/cell. The relative energy among the computed polymorphs comes out at 0.000 eV/atom.

abc: 6.294 6.294 7.731
angles: 65.98 65.98 90.00
Last column: magnetic moment on the atom in μB.
Positions (direct):
Pd 0.750 0.250 0.500  -0.20
I 0.375 0.376 0.750  -0.07
I 0.126 0.625 0.250  -0.07
Pd 0.000 0.000 0.000  -0.20
Mn 0.250 0.750 0.500  -4.19
Mn 0.500 0.500 0.000  -4.19
I 0.624 0.125 0.250  -0.07
I 0.875 0.874 0.750  -0.07

(4)
Material: Mn5PdI12
Method: DFT, PBE
State: relaxed

Properties
Its space group is C2/m. The calculation puts the total magnetic moment at 6.9 μB/f.u. For the energy, the calculation gives -4.241 eV per atom.

abc: 7.171 7.176 15.034
angles: 89.94 89.88 60.02
Last column: magnetic moment on the atom in μB.
Positions (direct):
I 0.000 0.329 0.893  -0.05
I 0.499 0.333 0.610  -0.10
Mn 0.833 0.333 0.500  -4.36
I 0.671 0.000 0.893  -0.05
I 0.167 0.333 0.390  -0.10
I 0.329 0.000 0.107  -0.05
Mn 0.333 0.333 0.000  4.33
I 0.833 0.667 0.610  -0.10
I 0.834 0.000 0.390  -0.10
Pd 0.000 0.000 0.000  -0.82
Mn 0.500 0.000 0.500  -4.36
Mn 0.167 0.667 0.500  -4.36
I 0.000 0.671 0.107  -0.05
I 0.329 0.671 0.893  -0.05
I 0.501 0.667 0.390  -0.10
I 0.166 0.000 0.610  -0.10
Mn 0.667 0.667 0.000  4.33
I 0.671 0.329 0.107  -0.05

(5)
Material: MnPdI2
Method: DFT, PBE
State: relaxed

Properties
Its space group is Fm-3m. The calculation puts the total magnetic moment at 0.0 μB/f.u. For the energy, the calculation gives -3.510 eV per atom. The density of states at the Fermi level comes out at 8.65 states/eV/cell. The relative energy among the computed polymorphs comes out at 0.863 eV/atom.

abc: 4.871 4.871 4.871
angles: 60.00 60.00 60.00
Positions (direct):
Pd 0.500 0.500 0.500
I 0.750 0.750 0.750
I 0.250 0.250 0.250
Mn 0.000 0.000 0.000

(6)
Material: MnPdI6
Method: DFT, PBE
State: relaxed

Properties
Its space group is C2/m. The calculation puts the total magnetic moment at 3.0 μB/f.u. For the energy, the calculation gives -3.148 eV per atom. The density of states at the Fermi level comes out at 7.14 states/eV/cell.

abc: 8.840 7.139 7.690
angles: 106.56 117.40 51.74
Last column: magnetic moment on the atom in μB.
Positions (direct):
I 0.789 0.329 0.236  -0.06
I 0.211 0.671 0.764  -0.06
I 0.665 0.000 0.764  -0.09
I 0.335 0.000 0.236  -0.09
Pd 0.000 0.000 0.500  -0.01
Mn 0.000 0.000 0.000  3.37
I 0.118 0.671 0.236  -0.06
I 0.882 0.329 0.764  -0.06

(7)
Material: Mn3PdI
Method: DFT, PBE
State: relaxed

Properties
Its space group is Pm-3m. The calculation puts the total magnetic moment at 13.6 μB/f.u. For the energy, the calculation gives -6.155 eV per atom. The density of states at the Fermi level comes out at 4.66 states/eV/cell. The relative energy among the computed polymorphs comes out at 0.000 eV/atom.

abc: 4.975 4.975 4.975
angles: 90.00 90.00 90.00
Last column: magnetic moment on the atom in μB.
Positions (direct):
Mn 0.000 0.500 0.000  4.12
I 0.500 0.500 0.500  0.08
Pd 0.000 0.000 0.000  0.29
Mn 0.000 0.000 0.500  4.26
Mn 0.500 0.000 0.000  4.03

(8)
Material: MnPdI4
Method: DFT, PBE
State: relaxed

Properties
Its space group is P2/m. The calculation puts the total magnetic moment at 4.1 μB/f.u. For the energy, the calculation gives -3.672 eV per atom. The density of states at the Fermi level comes out at 4.82 states/eV/cell.

abc: 4.159 7.245 7.025
angles: 88.56 90.00 90.00
Last column: magnetic moment on the atom in μB.
Positions (direct):
Pd 0.500 0.000 0.500  -0.38
I 0.000 0.781 0.676  -0.09
I 0.000 0.219 0.324  -0.09
Mn 0.000 0.000 0.000  4.31
I 0.500 0.225 0.818  0.04
I 0.500 0.775 0.182  0.04